{
  "formula": "Co3Ni3Te2O16",
  "functional": "PBE with a Hubbard U",
  "state": "optimized geometry",
  "cell": [[5.836, 0.001, 0.005], [3.031, 4.987, 0.005], [0.418, 0.235, 9.118]],
  "species": ["O", "Ni", "Co", "O", "O", "Co", "O", "O", "O", "O", "O", "O", "Ni", "Co", "Te", "O", "O", "Te", "Ni", "O", "O", "O", "O", "O"],
  "frac_coords": [[0.016, 0.016, 0.699], [0.834, 0.834, 0.790], [0.170, 0.170, 0.282], [0.841, 0.841, 0.410], [0.026, 0.468, 0.154], [0.344, 0.837, 0.786], [0.168, 0.677, 0.909], [0.677, 0.168, 0.909], [0.009, 0.009, 0.197], [0.966, 0.501, 0.655], [0.651, 0.651, 0.891], [0.836, 0.338, 0.404], [0.168, 0.664, 0.289], [0.837, 0.344, 0.786], [0.668, 0.668, 0.508], [0.169, 0.169, 0.898], [0.468, 0.026, 0.154], [0.334, 0.334, 0.009], [0.664, 0.168, 0.289], [0.338, 0.836, 0.404], [0.520, 0.520, 0.668], [0.501, 0.966, 0.655], [0.323, 0.323, 0.382], [0.477, 0.477, 0.158]],
  "final_energy_ev_per_atom": -5.283
}